Compound: Tm4Pd7Pt
Source: Alexandria
Functional: GGA-PBE
Structure: optimized geometry

a b c (Å): 5.7914 10.5831 3.9890
angles (deg): 79.15 90.00 80.96
Element x y z (fractional)
Pt1 0.0000 0.0000 0.0000
Pd1 0.3350 0.5650 0.7177
Pd2 0.0544 0.7112 0.1445
Pd3 0.6650 0.4350 0.2823
Tm1 0.1962 0.3976 0.3012
Tm2 0.2887 0.8535 0.5733
Pd4 0.9456 0.2888 0.8555
Pd5 0.7829 0.8644 0.5677
Pd6 0.2171 0.1356 0.4323
Tm3 0.7113 0.1465 0.4267
Pd7 0.5000 0.0000 0.0000
Tm4 0.8038 0.6024 0.6988

Properties
**Total DFT energy (no corrections)**: -5.87 eV per atom
**Total magnetic moment**: 0.000 μB/cell
**Energy of formation**: -844 meV per atom
**Space group**: C2/m (12)